[1]
The following is a DFT calculation (meta-GGA SCAN) of ZrGaSbI2 at its PBEsol-relaxed geometry.

Properties
Total magnetization (Bohr magnetons per cell): 1.2
Symmetry: No. 123
ρ (g cm⁻³): 5.9
Fermi-level density of states (states/eV per cell): 2.4
Uncorrected energy (eV per atom): -31.007
ΔE_f (raw) (eV per atom): 0.551

The structure in POSCAR format:
```
ZrGaSbI2
1.0
5.319 0.000 0.000
0.000 5.319 0.000
0.000 0.000 5.295
Zr Ga Sb I
1 1 1 2
Cartesian
0.000 0.000 0.000
2.660 2.660 2.648
2.660 2.660 0.000
0.000 2.660 2.648
2.660 0.000 2.648
```



[2]
The following is a DFT calculation (meta-GGA SCAN) of Zr2CoHg at its PBEsol-relaxed geometry.

Properties
Total magnetization (Bohr magnetons per cell): 1.4
Symmetry: No. 123
ΔE_f (eV per atom): -0.32
ρ (g cm⁻³): 10.2
Fermi-level density of states (states/eV per cell): 3.4
Uncorrected energy (eV per atom): -37.037

The structure in POSCAR format:
```
Zr2CoHg
1.0
3.114 0.000 0.000
0.000 3.114 0.000
0.000 0.000 7.434
Zr Co Hg
2 1 1
Cartesian
0.000 0.000 1.567
0.000 0.000 5.867
1.557 1.557 0.000
1.557 1.557 3.717
```



[3]
The following is a DFT calculation (meta-GGA SCAN) of BeFe2Ru at its PBEsol-relaxed geometry.

Properties
Total magnetization (Bohr magnetons per cell): 2.0
Symmetry: No. 216
ΔE_f (eV per atom): -0.04
ρ (g cm⁻³): 8.7
Fermi-level density of states (states/eV per cell): 1.6
Uncorrected energy (eV per atom): -18.899

The structure in POSCAR format:
```
BeFe2Ru
1.0
0.000 2.762 2.762
2.762 0.000 2.762
2.762 2.762 0.000
Be Fe Ru
1 2 1
Cartesian
0.000 0.000 0.000
2.762 2.762 2.762
4.143 4.143 4.143
1.381 1.381 1.381
```



[4]
The following is a DFT calculation (meta-GGA SCAN) of MgZnAg3 at its PBEsol-relaxed geometry.

Properties
Total magnetization (Bohr magnetons per cell): 0.0
Symmetry: No. 221
ΔE_f (eV per atom): 0.39
ρ (g cm⁻³): 6.5
Fermi-level density of states (states/eV per cell): 1.6
Uncorrected energy (eV per atom): -22.128

The structure in POSCAR format:
```
MgZnAg3
1.0
4.734 0.000 0.000
0.000 4.734 0.000
0.000 0.000 4.734
Mg Zn Ag
1 1 3
Cartesian
0.000 0.000 0.000
2.367 2.367 2.367
0.000 2.367 2.367
2.367 0.000 2.367
2.367 2.367 0.000
```



[5]
The following is a DFT calculation (meta-GGA SCAN) of Y2TiCo at its PBEsol-relaxed geometry.

Properties
Total magnetization (Bohr magnetons per cell): 2.8
Symmetry: No. 225
ΔE_f (eV per atom): 0.22
ρ (g cm⁻³): 5.8
Fermi-level density of states (states/eV per cell): 6.4
Uncorrected energy (eV per atom): -22.037

The structure in POSCAR format:
```
Y2TiCo
1.0
0.000 3.431 3.431
3.431 0.000 3.431
3.431 3.431 0.000
Y Ti Co
2 1 1
Cartesian
1.716 1.716 1.716
5.147 5.147 5.147
0.000 0.000 0.000
3.431 3.431 3.431
```



[6]
The following is a DFT calculation (meta-GGA SCAN) of LaReCl2 at its PBEsol-relaxed geometry.

Properties
Total magnetization (Bohr magnetons per cell): 4.0
Symmetry: No. 139
ρ (g cm⁻³): 7.6
Fermi-level density of states (states/eV per cell): 1.0
Uncorrected energy (eV per atom): -32.737
ΔE_f (raw) (eV per atom): -0.197

The structure in POSCAR format:
```
LaReCl2
1.0
-2.273 2.273 4.193
2.273 -2.273 4.193
2.273 2.273 -4.193
La Re Cl
1 1 2
Cartesian
0.000 0.000 0.000
0.000 0.000 4.193
2.273 0.000 2.096
0.000 2.273 2.096
```



[7]
The following is a DFT calculation (meta-GGA SCAN) of Mg2ZnSi at its PBEsol-relaxed geometry.

Properties
Total magnetization (Bohr magnetons per cell): 0.0
Symmetry: No. 38
ρ (g cm⁻³): 3.2
Fermi-level density of states (states/eV per cell): 0.9
Uncorrected energy (eV per atom): -8.451
ΔE_f (raw) (eV per atom): -0.082

The structure in POSCAR format:
```
Mg2ZnSi
1.0
3.984 0.000 0.000
0.000 1.951 4.770
0.000 -1.951 4.770
Mg Zn Si
2 1 1
Cartesian
0.000 0.000 0.000
1.992 0.000 2.754
0.000 0.000 6.843
1.992 0.000 5.469
```



[8]
The following is a DFT calculation (meta-GGA SCAN) of MoAs2Cl at its PBEsol-relaxed geometry.

Properties
Total magnetization (Bohr magnetons per cell): 0.0
Symmetry: No. 44
ρ (g cm⁻³): 5.6
Fermi-level density of states (states/eV per cell): 2.5
Uncorrected energy (eV per atom): -20.835
ΔE_f (raw) (eV per atom): -0.024

The structure in POSCAR format:
```
MoAs2Cl
1.0
-1.524 2.008 6.839
1.524 -2.008 6.839
1.524 2.008 -6.839
Mo As Cl
1 2 1
Cartesian
0.000 0.000 0.000
0.000 0.000 6.096
0.000 2.008 4.547
1.524 0.000 1.898
```



Q: Which formula does entry 7 have?
A: Mg2ZnSi